--- 1 ---
First-principles (PBE) data for a geometry-optimized HfAl2I structure, as listed in Alexandria.

a = 8.0714 Å, b = 8.0714 Å, c = 6.4080 Å
α = 50.97°, β = 50.97°, γ = 90.00°
With the nearest neighbours (Å) after each atom.
Positions (direct):
I 0.5000 0.5000 0.0000  2 Hf 2.91, 4 Al 3.05
I 0.2500 0.7500 0.5000  2 Hf 2.91, 4 Al 3.05
Hf 0.0000 0.0000 0.0000  4 Al 2.84, 2 I 2.91
Hf 0.7500 0.2500 0.5000  4 Al 2.84, 2 I 2.91
Al 0.6441 0.1250 0.2500  2 Hf 2.84, 2 Al 2.93, 2 I 3.05
Al 0.1059 0.6250 0.2500  2 Hf 2.84, 2 Al 2.93, 2 I 3.05
Al 0.3750 0.3559 0.7500  2 Hf 2.84, 2 Al 2.93, 2 I 3.05
Al 0.8750 0.8941 0.7500  2 Hf 2.84, 2 Al 2.93, 2 I 3.05

Properties
Calculated volume (Å³ per atom): 23.73
Space-group type: I-42d, No. 122

--- 2 ---
First-principles (PBE) data for a geometry-optimized HfAl2I structure, as listed in Alexandria.

a = 5.0579 Å, b = 5.0579 Å, c = 5.0579 Å
α = 60.00°, β = 60.00°, γ = 60.00°
With the nearest neighbours (Å) after each atom.
Positions (direct):
I 0.0000 0.0000 0.0000  8 Al 3.10
Hf 0.5000 0.5000 0.5000  8 Al 3.10
Al 0.2500 0.2500 0.2500  4 Hf 3.10, 4 I 3.10
Al 0.7500 0.7500 0.7500  4 Hf 3.10, 4 I 3.10

Properties
Calculated volume (Å³ per atom): 22.87
Space-group type: Fm-3m, No. 225

According to the calculations, the structures order from most to least stable as 1, 2.

--- 1 ---
First-principles (PBE) data for a geometry-optimized HfAl3I structure, as listed in Alexandria.

a = 5.2017 Å, b = 5.2017 Å, c = 5.2017 Å
α = 90.00°, β = 90.00°, γ = 90.00°
With the nearest neighbours (Å) after each atom.
Positions (direct):
I 0.0000 0.0000 0.0000  6 Al 2.60
Hf 0.5000 0.5000 0.5000  12 Al 3.68
Al 0.0000 0.5000 0.0000  2 I 2.60
Al 0.0000 0.0000 0.5000  2 I 2.60
Al 0.5000 0.0000 0.0000  2 I 2.60

Properties
Calculated volume (Å³ per atom): 28.15
Space-group type: Pm-3m, No. 221

--- 2 ---
First-principles (PBE) data for a geometry-optimized HfAl3I structure, as listed in Alexandria.

a = 5.5138 Å, b = 5.5138 Å, c = 5.5138 Å
α = 90.00°, β = 90.00°, γ = 90.00°
With the nearest neighbours (Å) after each atom.
Positions (direct):
I 0.5000 0.5000 0.5000  12 Al 3.90
Hf 0.0000 0.0000 0.0000  6 Al 2.76
Al 0.0000 0.5000 0.0000  2 Hf 2.76
Al 0.0000 0.0000 0.5000  2 Hf 2.76
Al 0.5000 0.0000 0.0000  2 Hf 2.76

Properties
Calculated volume (Å³ per atom): 33.53
Space-group type: Pm-3m, No. 221

According to the calculations, the structures order from most to least stable as 2, 1.

--- 1 ---
First-principles (PBE) data for a geometry-optimized HfAlI2N structure, as listed in Alexandria.

a = 5.7340 Å, b = 5.7340 Å, c = 3.4864 Å
α = 90.00°, β = 90.00°, γ = 90.00°
With the nearest neighbours (Å) after each atom.
Positions (direct):
I 0.0000 0.5000 0.0000  2 Al 2.87
I 0.5000 0.0000 0.0000  2 Al 2.87
Hf 0.5000 0.5000 0.5000  8 I 3.36, 2 Hf 3.49
Al 0.0000 0.0000 0.0000  2 N 1.74
N 0.0000 0.0000 0.5000  2 Al 1.74

Properties
Calculated volume (Å³ per atom): 22.93
Space-group type: P4/mmm, No. 123

--- 2 ---
First-principles (PBE) data for a geometry-optimized HfAlI2N structure, as listed in Alexandria.

a = 5.9536 Å, b = 5.9536 Å, c = 4.0055 Å
α = 90.00°, β = 90.00°, γ = 90.00°
With the nearest neighbours (Å) after each atom.
Positions (direct):
I 0.0000 0.5000 0.0000  2 Hf 2.98
I 0.5000 0.0000 0.0000  2 Hf 2.98
Hf 0.0000 0.0000 0.0000  2 N 2.00
Al 0.5000 0.5000 0.5000  8 I 3.59, 2 Al 4.01
N 0.0000 0.0000 0.5000  2 Hf 2.00

Properties
Calculated volume (Å³ per atom): 28.40
Space-group type: P4/mmm, No. 123

According to the calculations, the structures order from most to least stable as 2, 1.

--- 1 ---
First-principles (PBE) data for a geometry-optimized HfAlSb2I structure, as listed in Alexandria.

a = 5.2411 Å, b = 5.2411 Å, c = 5.3046 Å
α = 90.00°, β = 90.00°, γ = 90.00°
With the nearest neighbours (Å) after each atom.
Positions (direct):
I 0.0000 0.0000 0.5000  2 Al 2.65
Sb 0.0000 0.5000 0.0000  2 Al 2.62
Sb 0.5000 0.0000 0.0000  2 Al 2.62
Hf 0.5000 0.5000 0.5000  4 I 3.71, 8 Sb 3.73
Al 0.0000 0.0000 0.0000  4 Sb 2.62, 2 I 2.65

Properties
Calculated volume (Å³ per atom): 29.14
Space-group type: P4/mmm, No. 123

--- 2 ---
First-principles (PBE) data for a geometry-optimized HfAlSb2I structure, as listed in Alexandria.

a = 5.5148 Å, b = 5.5148 Å, c = 5.8523 Å
α = 90.00°, β = 90.00°, γ = 90.00°
With the nearest neighbours (Å) after each atom.
Positions (direct):
I 0.0000 0.0000 0.5000  2 Hf 2.93
Sb 0.0000 0.5000 0.0000  2 Hf 2.76
Sb 0.5000 0.0000 0.0000  2 Hf 2.76
Hf 0.0000 0.0000 0.0000  4 Sb 2.76, 2 I 2.93
Al 0.5000 0.5000 0.5000  4 I 3.90, 8 Sb 4.02

Properties
Calculated volume (Å³ per atom): 35.60
Space-group type: P4/mmm, No. 123

According to the calculations, the structures order from most to least stable as 2, 1.